Entry 1:
The following is a GGA-PBE calculation of an optimized crystal structure of CaCr2Pt, from the Alexandria database.

Output
The total energy is -6.52 eV per atom. For the volume, the calculation gives 18.117 Å³ per atom.

CIF file:
```
data_CaCr2Pt
_chemical_formula_sum 'Ca1 Cr2 Pt1'
_cell_length_a 2.822
_cell_length_b 4.319
_cell_length_c 5.946
_cell_angle_alpha 90.00
_cell_angle_beta 90.00
_cell_angle_gamma 90.00
_symmetry_space_group_name_H-M 'P m m m'
_symmetry_Int_Tables_number 47
loop_
_symmetry_equiv_pos_as_xyz
'x,y,z'
'-x,-y,-z'
'-x,-y,z'
'x,y,-z'
'x,-y,-z'
'-x,y,z'
'-x,y,-z'
'x,-y,z'
loop_
_atom_site_label
_atom_site_type_symbol
_atom_site_fract_x
_atom_site_fract_y
_atom_site_fract_z
Ca1 Ca 0.000 0.000 0.000
Cr1 Cr 0.500 0.500 0.345
Pt1 Pt 0.000 0.000 0.500
```

***

Entry 2:
The following is a GGA-PBE calculation of an optimized crystal structure of CuSiHg2, from the Alexandria database.

Output
For the volume, the calculation gives 20.430 Å³ per atom. Its energy relative to the elements, uncorrected is 28.4 kJ/mol of atoms.

CIF file:
```
data_CuSiHg2
_chemical_formula_sum 'Cu1 Si1 Hg2'
_cell_length_a 4.303
_cell_length_b 4.250
_cell_length_c 4.889
_cell_angle_alpha 90.00
_cell_angle_beta 113.94
_cell_angle_gamma 90.00
_symmetry_space_group_name_H-M 'P 1 m 1'
_symmetry_Int_Tables_number 6
loop_
_symmetry_equiv_pos_as_xyz
'x,y,z'
'x,-y,z'
loop_
_atom_site_label
_atom_site_type_symbol
_atom_site_fract_x
_atom_site_fract_y
_atom_site_fract_z
Cu1 Cu 0.000 0.000 0.000
Si1 Si 0.108 0.500 0.221
Hg1 Hg 0.412 0.500 0.809
Hg2 Hg 0.695 0.000 0.409
```

***

Entry 3:
The following is a GGA-PBE calculation of an optimized crystal structure of Pr3In4Ag2, from the Alexandria database.

Output
The total energy is -3.90 eV per atom. For the volume, the calculation gives 26.558 Å³ per atom.

CIF file:
```
data_Pr3In4Ag2
_chemical_formula_sum 'Pr6 In8 Ag4'
_cell_length_a 11.456
_cell_length_b 4.944
_cell_length_c 9.358
_cell_angle_alpha 90.00
_cell_angle_beta 115.58
_cell_angle_gamma 90.00
_symmetry_space_group_name_H-M 'C 1 2/m 1'
_symmetry_Int_Tables_number 12
loop_
_symmetry_equiv_pos_as_xyz
'x,y,z'
'-x,-y,-z'
'-x,y,-z'
'x,-y,z'
'x+1/2,y+1/2,z'
'-x+1/2,-y+1/2,-z'
'-x+1/2,y+1/2,-z'
'x+1/2,-y+1/2,z'
loop_
_atom_site_label
_atom_site_type_symbol
_atom_site_fract_x
_atom_site_fract_y
_atom_site_fract_z
Pr1 Pr 0.000 0.000 0.000
Pr2 Pr 0.173 0.500 0.654
In1 In 0.034 0.000 0.366
In2 In 0.237 0.500 0.079
Ag1 Ag 0.098 0.500 0.269
```

***

Entry 4:
The following is a GGA-PBE calculation of an optimized crystal structure of PmHo2Co, from the Alexandria database.

Output
For the relative energy among the computed polymorphs, the calculation gives 0.09 eV/f.u. For the volume, the calculation gives 26.076 Å³ per atom.

CIF file:
```
data_PmHo2Co
_chemical_formula_sum 'Pm4 Ho8 Co4'
_cell_length_a 3.648
_cell_length_b 12.115
_cell_length_c 9.441
_cell_angle_alpha 90.00
_cell_angle_beta 90.00
_cell_angle_gamma 90.00
_symmetry_space_group_name_H-M 'C m c m'
_symmetry_Int_Tables_number 63
_symmetry_space_group_name_Hall '-C 2c 2'
loop_
_atom_site_label
_atom_site_type_symbol
_atom_site_fract_x
_atom_site_fract_y
_atom_site_fract_z
Pm1 Pm 0.000 0.083 0.250
Ho1 Ho 0.000 0.358 0.073
Co1 Co 0.000 0.245 0.750
```

***

Entry 5:
The following is a GGA-PBE calculation of an optimized crystal structure of TbPm4Sb5, from the Alexandria database.

Output
For the volume, the calculation gives 31.667 Å³ per atom. Its energy relative to the elements, uncorrected is -113.7 kJ/mol of atoms.

CIF file:
```
data_TbPm4Sb5
_chemical_formula_sum 'Tb2 Pm8 Sb10'
_cell_length_a 4.475
_cell_length_b 4.475
_cell_length_c 31.623
_cell_angle_alpha 90.00
_cell_angle_beta 90.00
_cell_angle_gamma 90.00
_symmetry_space_group_name_H-M 'I 4/m m m'
_symmetry_Int_Tables_number 139
_symmetry_space_group_name_Hall '-I 4 2'
loop_
_atom_site_label
_atom_site_type_symbol
_atom_site_fract_x
_atom_site_fract_y
_atom_site_fract_z
Tb1 Tb 0.000 0.000 0.000
Pm1 Pm 0.000 0.000 0.200
Pm2 Pm 0.000 0.000 0.400
Sb1 Sb 0.000 0.000 0.099
Sb2 Sb 0.000 0.000 0.300
Sb3 Sb 0.000 0.000 0.500
```

***

Entry 6:
The following is a GGA-PBE calculation of an optimized crystal structure of As2PC, from the Alexandria database.

Output
For the relative energy among the computed polymorphs, the calculation gives 2.75 eV/f.u. For the volume, the calculation gives 14.457 Å³ per atom.

CIF file:
```
data_As2PC
_chemical_formula_sum 'As8 P4 C4'
_cell_length_a 6.139
_cell_length_b 6.139
_cell_length_c 6.139
_cell_angle_alpha 90.00
_cell_angle_beta 90.00
_cell_angle_gamma 90.00
_symmetry_space_group_name_H-M 'F m -3 m'
_symmetry_Int_Tables_number 225
_symmetry_space_group_name_Hall '-F 4 2 3'
loop_
_atom_site_label
_atom_site_type_symbol
_atom_site_fract_x
_atom_site_fract_y
_atom_site_fract_z
As1 As 0.250 0.250 0.250
P1 P 0.000 0.000 0.000
C1 C 0.000 0.000 0.500
```